DFT (SCAN) results for K4In at its PBEsol-relaxed geometry.

The space group is Im-3m (No. 229) and the conventional cell measures 8.395, 8.395 and 8.395 Å, with angles of 90.00, 90.00 and 90.00 degrees. Symmetry generates all atoms from K at (0.250, 0.250, 0.250) and In at (0.000, 0.000, 0.000).

The raw total energy comes out at -66.58 eV per formula unit.